1.
AcSm2In2 | PBE-GGA | optimized geometry

## Properties
D(E_F)	1.06	states/eV/atom
distance to the lowest polymorph of the same formula	0.053	eV/atom
crystal system	tetragonal
energy of formation from the pure elements	-0.19	eV/atom

a b c (Å): 13.8373 13.8373 13.8373
angles (deg): 158.68 158.68 30.32
Closest atoms and distances in Å follow each position.
Positions (direct):
Ac1 0.1275 0.1275 0.0000  8 In 3.88-4.26, 8 Sm 3.96-4.15
Ac2 0.8725 0.8725 0.0000  8 In 3.88-4.26, 8 Sm 3.96-4.15
Sm1 0.2500 0.7500 0.5000  4 In 3.17
Sm2 0.4326 0.4326 0.0000  5 In 3.01-3.13
Sm3 0.5674 0.5674 0.0000  5 In 3.01-3.13
Sm4 0.7500 0.2500 0.5000  4 In 3.17
In1 0.0000 0.5000 0.5000  4 Sm 3.13
In2 0.3198 0.3198 0.0000  5 Sm 3.01-3.17
In3 0.5000 0.0000 0.5000  4 Sm 3.13
In4 0.6802 0.6802 0.0000  5 Sm 3.01-3.17

=====

2.
AcSm12In3 | PBE-GGA | optimized geometry

## Properties
D(E_F)	1.47	states/eV/atom
crystal system	tetragonal
energy of formation from the pure elements	-0.18	eV/atom

a b c (Å): 4.9739 4.9739 20.3641
angles (deg): 90.00 90.00 90.00
Closest atoms and distances in Å follow each position.
Positions (direct):
Ac1 0.0000 0.0000 0.0000  12 Sm 3.52-3.73
Sm1 0.0000 0.5000 0.1364  2 In 3.52, 8 Sm 3.52-3.73, 2 Ac 3.73
Sm2 0.0000 0.5000 0.3789  8 Sm 3.48-3.52, 4 In 3.49-3.50
Sm3 0.0000 0.5000 0.6211  8 Sm 3.48-3.52, 4 In 3.49-3.50
Sm4 0.0000 0.5000 0.8636  2 In 3.52, 8 Sm 3.52-3.73, 2 Ac 3.73
Sm5 0.5000 0.0000 0.1364  2 In 3.52, 8 Sm 3.52-3.73, 2 Ac 3.73
Sm6 0.5000 0.0000 0.3789  8 Sm 3.48-3.52, 4 In 3.49-3.50
Sm7 0.5000 0.0000 0.6211  8 Sm 3.48-3.52, 4 In 3.49-3.50
Sm8 0.5000 0.0000 0.8636  2 In 3.52, 8 Sm 3.52-3.73, 2 Ac 3.73
Sm9 0.5000 0.5000 0.0000  4 Ac 3.52, 8 Sm 3.73
Sm10 0.5000 0.5000 0.2591  8 Sm 3.48-3.53, 4 In 3.52
Sm11 0.5000 0.5000 0.5000  8 Sm 3.50, 4 In 3.52
Sm12 0.5000 0.5000 0.7409  8 Sm 3.48-3.53, 4 In 3.52
In1 0.0000 0.0000 0.2585  12 Sm 3.49-3.52
In2 0.0000 0.0000 0.5000  12 Sm 3.50-3.52
In3 0.0000 0.0000 0.7415  12 Sm 3.49-3.52

=====

3.
AcSm3In2 | PBE-GGA | optimized geometry

## Properties
D(E_F)	0.93	states/eV/atom
distance to the lowest polymorph of the same formula	0.000	eV/atom
crystal system	tetragonal
energy of formation from the pure elements	-0.31	eV/atom

a b c (Å): 3.7204 3.7204 13.6338
angles (deg): 90.00 90.00 90.00
Closest atoms and distances in Å follow each position.
Positions (direct):
Ac1 0.0000 0.0000 0.0000  4 Ac 3.72, 8 Sm 3.78
Sm1 0.5000 0.5000 0.1991  4 In 3.32
Sm2 0.5000 0.5000 0.5000  8 In 3.36, 4 Sm 3.72
Sm3 0.5000 0.5000 0.8009  4 In 3.32
In1 0.0000 0.0000 0.3471  8 Sm 3.32-3.36
In2 0.0000 0.0000 0.6529  8 Sm 3.32-3.36

=====

4.
AcSm2In3 | PBE-GGA | optimized geometry

## Properties
D(E_F)	0.66	states/eV/atom
crystal system	tetragonal
energy of formation from the pure elements	-0.46	eV/atom

a b c (Å): 3.9031 3.9031 11.8830
angles (deg): 90.00 90.00 90.00
Closest atoms and distances in Å follow each position.
Positions (direct):
Ac1 0.0000 0.0000 0.0000  8 In 3.55, 4 Ac 3.90
Sm1 0.0000 0.0000 0.3419  8 In 3.32-3.34
Sm2 0.0000 0.0000 0.6581  8 In 3.32-3.34
In1 0.5000 0.5000 0.1872  4 Sm 3.32, 4 Ac 3.55
In2 0.5000 0.5000 0.5000  8 Sm 3.34, 2 In 3.72
In3 0.5000 0.5000 0.8128  4 Sm 3.32, 4 Ac 3.55

=====

5.
Ac2SmIn3 | PBE-GGA | optimized geometry

## Properties
D(E_F)	0.70	states/eV/atom
crystal system	tetragonal
energy of formation from the pure elements	-0.44	eV/atom

a b c (Å): 3.9949 3.9949 12.1591
angles (deg): 90.00 90.00 90.00
Closest atoms and distances in Å follow each position.
Positions (direct):
Ac1 0.0000 0.0000 0.1751  8 In 3.54-3.57, 1 Sm 3.95
Ac2 0.0000 0.0000 0.8249  8 In 3.54-3.57, 1 Sm 3.95
Sm1 0.0000 0.0000 0.5000  8 In 3.33
In1 0.5000 0.5000 0.0000  8 Ac 3.54
In2 0.5000 0.5000 0.3549  4 Sm 3.33, 1 In 3.53, 4 Ac 3.57
In3 0.5000 0.5000 0.6451  4 Sm 3.33, 1 In 3.53, 4 Ac 3.57

=====

6.
AcSm6In3 | PBE-GGA | optimized geometry

## Properties
D(E_F)	1.22	states/eV/atom
crystal system	orthorhombic
energy of formation from the pure elements	-0.21	eV/atom

a b c (Å): 8.6979 8.6979 8.8539
angles (deg): 90.00 90.00 94.74
Closest atoms and distances in Å follow each position.
Positions (direct):
Ac1 0.1890 0.8110 0.5000  4 In 3.51-3.90, 3 Sm 3.84-3.88
Ac2 0.8110 0.1890 0.0000  4 In 3.51-3.90, 3 Sm 3.84-3.88
Sm1 0.0741 0.4277 0.2981  3 In 3.32-3.38, 4 Sm 3.47-3.64
Sm2 0.1108 0.2419 0.6531  4 In 3.09-3.36, 1 Sm 3.32
Sm3 0.2419 0.1108 0.1531  4 In 3.09-3.36, 1 Sm 3.32
Sm4 0.2604 0.7396 0.0744  3 In 3.13-3.15, 2 Sm 3.32
Sm5 0.4277 0.0741 0.7981  3 In 3.32-3.38, 4 Sm 3.47-3.64
Sm6 0.4773 0.5227 0.6977  4 In 3.29-3.42, 1 Sm 3.53
Sm7 0.5227 0.4773 0.1977  4 In 3.29-3.42, 1 Sm 3.53
Sm8 0.5723 0.9259 0.2981  3 In 3.32-3.38, 4 Sm 3.47-3.64
Sm9 0.7396 0.2604 0.5744  3 In 3.13-3.15, 2 Sm 3.32
Sm10 0.7581 0.8892 0.6531  4 In 3.09-3.36, 1 Sm 3.32
Sm11 0.8892 0.7581 0.1531  4 In 3.09-3.36, 1 Sm 3.32
Sm12 0.9259 0.5723 0.7981  3 In 3.32-3.38, 4 Sm 3.47-3.64
In1 0.0662 0.9338 0.8550  7 Sm 3.15-3.36, 2 Ac 3.51
In2 0.2215 0.4000 0.9541  7 Sm 3.09-3.42
In3 0.4000 0.2215 0.4541  7 Sm 3.09-3.42
In4 0.6000 0.7785 0.9541  7 Sm 3.09-3.42
In5 0.7785 0.6000 0.4541  7 Sm 3.09-3.42
In6 0.9338 0.0662 0.3550  7 Sm 3.15-3.36, 2 Ac 3.51

=====

7.
AcSm9In2 | PBE-GGA | optimized geometry

## Properties
D(E_F)	1.26	states/eV/atom
crystal system	tetragonal
energy of formation from the pure elements	-0.15	eV/atom

a b c (Å): 4.9955 4.9955 15.3692
angles (deg): 90.00 90.00 90.00
Closest atoms and distances in Å follow each position.
Positions (direct):
Ac1 0.0000 0.0000 0.0000  12 Sm 3.53-3.73
Sm1 0.0000 0.5000 0.1799  2 In 3.51, 8 Sm 3.53-3.73, 2 Ac 3.73
Sm2 0.0000 0.5000 0.5000  8 Sm 3.48-3.53, 4 In 3.50
Sm3 0.0000 0.5000 0.8201  2 In 3.51, 8 Sm 3.53-3.73, 2 Ac 3.73
Sm4 0.5000 0.0000 0.1799  2 In 3.51, 8 Sm 3.53-3.73, 2 Ac 3.73
Sm5 0.5000 0.0000 0.5000  8 Sm 3.48-3.53, 4 In 3.50
Sm6 0.5000 0.0000 0.8201  2 In 3.51, 8 Sm 3.53-3.73, 2 Ac 3.73
Sm7 0.5000 0.5000 0.0000  4 Ac 3.53, 8 Sm 3.73
Sm8 0.5000 0.5000 0.3426  8 Sm 3.48-3.54, 4 In 3.53
Sm9 0.5000 0.5000 0.6574  8 Sm 3.48-3.54, 4 In 3.53
In1 0.0000 0.0000 0.3400  12 Sm 3.50-3.53
In2 0.0000 0.0000 0.6600  12 Sm 3.50-3.53

=====

8.
Ac3SmIn2 | PBE-GGA | optimized geometry

## Properties
D(E_F)	1.15	states/eV/atom
crystal system	triclinic
energy of formation from the pure elements	-0.27	eV/atom

a b c (Å): 4.9731 5.1029 9.5951
angles (deg): 74.63 75.03 89.99
Closest atoms and distances in Å follow each position.
Positions (direct):
Ac1 0.0000 0.0000 0.0000  4 In 3.46-3.47, 4 Sm 3.56
Ac2 0.3225 0.8223 0.3566  5 In 3.39-3.66
Ac3 0.6775 0.1777 0.6434  5 In 3.39-3.66
Sm1 0.5000 0.5000 0.0000  4 In 3.41-3.42, 4 Ac 3.56
In1 0.1303 0.6306 0.7371  7 Ac 3.39-3.66, 2 Sm 3.41-3.42
In2 0.8697 0.3694 0.2629  7 Ac 3.39-3.66, 2 Sm 3.41-3.42

=====

9.
AcSmIn6 | PBE-GGA | optimized geometry

## Properties
D(E_F)	0.54	states/eV/atom
crystal system	tetragonal
energy of formation from the pure elements	-0.42	eV/atom

a b c (Å): 4.8122 4.8122 9.5942
angles (deg): 90.00 90.00 90.00
Closest atoms and distances in Å follow each position.
Positions (direct):
Ac1 0.0000 0.0000 0.0000  12 In 3.40-3.47
Sm1 0.0000 0.0000 0.5000  12 In 3.33-3.40
In1 0.0000 0.5000 0.2607  8 In 3.33-3.47, 2 Sm 3.33, 2 Ac 3.47
In2 0.0000 0.5000 0.7393  8 In 3.33-3.47, 2 Sm 3.33, 2 Ac 3.47
In3 0.5000 0.0000 0.2607  8 In 3.33-3.47, 2 Sm 3.33, 2 Ac 3.47
In4 0.5000 0.0000 0.7393  8 In 3.33-3.47, 2 Sm 3.33, 2 Ac 3.47
In5 0.5000 0.5000 0.0000  4 Ac 3.40, 8 In 3.47
In6 0.5000 0.5000 0.5000  8 In 3.33, 4 Sm 3.40

=====

10.
Ac2Sm3In4 | PBE-GGA | optimized geometry

## Properties
D(E_F)	1.08	states/eV/atom
distance to the lowest polymorph of the same formula	0.000	eV/atom
crystal system	monoclinic
energy of formation from the pure elements	-0.43	eV/atom

a b c (Å): 8.6719 8.7084 8.2943
angles (deg): 90.00 107.59 90.00
Closest atoms and distances in Å follow each position.
Positions (direct):
Ac1 0.1876 0.1776 0.0654  7 In 3.45-3.82
Ac2 0.1876 0.3224 0.5654  7 In 3.45-3.82
Ac3 0.8124 0.6776 0.4346  7 In 3.45-3.82
Ac4 0.8124 0.8224 0.9346  7 In 3.45-3.82
Sm1 0.2448 0.6709 0.2499  6 In 3.18-3.33
Sm2 0.2448 0.8291 0.7499  6 In 3.18-3.33
Sm3 0.5000 0.0000 0.5000  6 In 3.28-3.48
Sm4 0.5000 0.5000 0.0000  6 In 3.28-3.48
Sm5 0.7552 0.1709 0.2501  6 In 3.18-3.33
Sm6 0.7552 0.3291 0.7501  6 In 3.18-3.33
In1 0.0814 0.5379 0.8637  1 In 3.08, 3 Sm 3.18-3.30, 1 Ac 3.45
In2 0.0814 0.9621 0.3637  1 In 3.08, 3 Sm 3.18-3.30, 1 Ac 3.45
In3 0.4979 0.1234 0.8726  1 In 3.01, 4 Sm 3.25-3.33
In4 0.4979 0.3766 0.3726  1 In 3.01, 4 Sm 3.25-3.33
In5 0.5021 0.6234 0.6274  1 In 3.01, 4 Sm 3.25-3.33
In6 0.5021 0.8766 0.1274  1 In 3.01, 4 Sm 3.25-3.33
In7 0.9186 0.0379 0.6363  1 In 3.08, 3 Sm 3.18-3.30, 1 Ac 3.45
In8 0.9186 0.4621 0.1363  1 In 3.08, 3 Sm 3.18-3.30, 1 Ac 3.45

=====

11.
Ac3SmIn4 | PBE-GGA | optimized geometry

## Properties
D(E_F)	0.66	states/eV/atom
crystal system	tetragonal
energy of formation from the pure elements	-0.44	eV/atom

a b c (Å): 4.0179 4.0179 16.3130
angles (deg): 90.00 90.00 90.00
Closest atoms and distances in Å follow each position.
Positions (direct):
Ac1 0.0000 0.0000 0.0000  8 In 3.55
Ac2 0.0000 0.0000 0.2600  8 In 3.54-3.57, 1 Sm 3.92
Ac3 0.0000 0.0000 0.7400  8 In 3.54-3.57, 1 Sm 3.92
Sm1 0.0000 0.0000 0.5000  8 In 3.34
In1 0.5000 0.5000 0.1307  8 Ac 3.54-3.55
In2 0.5000 0.5000 0.3929  4 Sm 3.34, 1 In 3.50, 4 Ac 3.57
In3 0.5000 0.5000 0.6071  4 Sm 3.34, 1 In 3.50, 4 Ac 3.57
In4 0.5000 0.5000 0.8693  8 Ac 3.54-3.55

=====

12.
AcSm3In2 | PBE-GGA | optimized geometry

## Properties
D(E_F)	1.05	states/eV/atom
distance to the lowest polymorph of the same formula	0.063	eV/atom
crystal system	monoclinic
energy of formation from the pure elements	-0.25	eV/atom

a b c (Å): 8.9502 8.9502 9.3044
angles (deg): 115.67 115.67 36.16
Closest atoms and distances in Å follow each position.
Positions (direct):
Ac1 0.1290 0.1290 0.1770  5 In 3.43-3.66, 3 Sm 3.71-3.83
Ac2 0.8710 0.8710 0.8230  5 In 3.43-3.66, 3 Sm 3.71-3.83
Sm1 0.0627 0.0627 0.7140  3 In 3.40-3.42, 6 Sm 3.56-3.78
Sm2 0.3034 0.3034 0.0065  2 In 3.09-3.38, 2 Sm 3.29
Sm3 0.3830 0.3830 0.4636  4 In 3.11-3.44
Sm4 0.6170 0.6170 0.5364  4 In 3.11-3.44
Sm5 0.6966 0.6966 0.9935  2 In 3.09-3.38, 2 Sm 3.29
Sm6 0.9373 0.9373 0.2860  3 In 3.40-3.42, 6 Sm 3.56-3.78
In1 0.2265 0.2265 0.6009  5 Sm 3.24-3.44, 1 Ac 3.51
In2 0.4925 0.4925 0.8373  1 In 2.92, 2 Sm 3.09-3.11
In3 0.5075 0.5075 0.1627  1 In 2.92, 2 Sm 3.09-3.11
In4 0.7735 0.7735 0.3991  5 Sm 3.24-3.44, 1 Ac 3.51

=====

Number 1: M_tot 0.000 μB per formula unit. Number 2: M_tot 0.003 μB per formula unit. Number 3: M_tot 0.000 μB per formula unit. Number 4: M_tot 0.000 μB per formula unit. Number 5: M_tot 0.000 μB per formula unit. Number 6: M_tot 0.000 μB per formula unit. Number 7: M_tot 0.000 μB per formula unit. Number 8: M_tot 0.000 μB per formula unit. Number 9: M_tot 0.000 μB per formula unit. Number 10: M_tot 0.000 μB per formula unit. Number 11: M_tot 0.000 μB per formula unit. Number 12: M_tot 0.000 μB per formula unit.